Entry from Alexandria via LeMat-Bulk: crystalline Tl2IrCl at its relaxed geometry (GGA-PBE).

Symmetry ... Fm-3m
Formation energy without anion corrections ... 1.841 eV/f.u.
Density ... 11.7 Mg/m³
N(E_F) ... 1.54 states/eV per cell
V ... 22.615 A^3/atom
Offset from the most stable computed form ... 36.4 kJ per mole of atoms

Cell: 5.0388 5.0388 5.0388 Å, 60.00 60.00 60.00°
Last column: nearest neighbours and their distance in Å.
Fractional positions:
Ir: 0.5000 0.5000 0.5000  8 Tl 3.09
Tl: 0.2500 0.2500 0.2500  4 Cl 3.09, 4 Ir 3.09
Tl: 0.7500 0.7500 0.7500  4 Cl 3.09, 4 Ir 3.09
Cl: 0.0000 0.0000 0.0000  8 Tl 3.09